No. 1
# PBEsol LaIr2Os, optimized geometry
data_LaIr2Os
_chemical_formula_sum 'La4 Ir8 Os4'
_space_group_name_H-M_alt 'F -4 3 m'
_space_group_IT_number 216
_space_group_name_Hall 'F -4 2 3'
_cell_length_a 6.523
_cell_length_b 6.523
_cell_length_c 6.523
_cell_angle_alpha 90.00
_cell_angle_beta 90.00
_cell_angle_gamma 90.00
loop_
_atom_site_label
_atom_site_fract_x
_atom_site_fract_y
_atom_site_fract_z
La1 0.000 0.000 0.000
Ir1 0.000 0.000 0.500
Ir2 0.250 0.250 0.750
Os1 0.250 0.250 0.250
# Formation energy = 588 meV/atom
# M_tot = 0.00 μB/f.u.
# E above lowest polymorph = 50.2 kJ per mole of atoms

No. 2
# PBEsol LuMgAg2, optimized geometry
data_LuMgAg2
_chemical_formula_sum 'Lu4 Mg4 Ag8'
_space_group_name_H-M_alt 'F m -3 m'
_space_group_IT_number 225
_space_group_name_Hall '-F 4 2 3'
_cell_length_a 6.790
_cell_length_b 6.790
_cell_length_c 6.790
_cell_angle_alpha 90.00
_cell_angle_beta 90.00
_cell_angle_gamma 90.00
loop_
_atom_site_label
_atom_site_fract_x
_atom_site_fract_y
_atom_site_fract_z
Lu1 0.000 0.000 0.000
Mg1 0.000 0.000 0.500
Ag1 0.250 0.250 0.250
# Formation energy = -313 meV/atom
# M_tot = 0.00 μB/f.u.

No. 3
# PBEsol Li4V3Fe3Sn2O16, optimized geometry
data_Li4V3Fe3Sn2O16
_chemical_formula_sum 'Li8 V6 Fe6 Sn4 O32'
_space_group_name_H-M_alt 'C 1 m 1'
_space_group_IT_number 8
_space_group_name_Hall 'C -2y'
_cell_length_a 9.615
_cell_length_b 5.690
_cell_length_c 9.815
_cell_angle_alpha 90.00
_cell_angle_beta 90.01
_cell_angle_gamma 90.00
loop_
_atom_site_label
_atom_site_fract_x
_atom_site_fract_y
_atom_site_fract_z
Li1 0.000 0.000 0.000
Li2 0.002 0.000 0.499
Li3 0.170 0.500 0.101
Li4 0.337 0.000 0.594
V1 0.097 0.268 0.777
V2 0.193 0.000 0.278
Fe1 0.320 0.500 0.777
Fe2 0.413 0.238 0.277
Sn1 0.168 0.500 0.492
Sn2 0.342 0.000 0.998
O1 0.000 0.000 0.688
O2 0.001 0.000 0.188
O3 0.017 0.500 0.653
O4 0.085 0.233 0.383
O5 0.165 0.500 0.901
O6 0.166 0.000 0.883
O7 0.247 0.273 0.651
O8 0.260 0.228 0.152
O9 0.344 0.000 0.397
O10 0.346 0.500 0.383
O11 0.423 0.265 0.883
O12 0.487 0.000 0.161
# M_tot = 2.71 μB/f.u.
# Energy relative to the elements, uncorrected = -1907 meV per atom

No. 4
# PBEsol FeNiIr, optimized geometry
data_FeNiIr
_chemical_formula_sum 'Fe4 Ni4 Ir4'
_space_group_name_H-M_alt 'F m m 2'
_space_group_IT_number 42
_space_group_name_Hall 'F 2 -2'
_cell_length_a 2.705
_cell_length_b 4.378
_cell_length_c 12.607
_cell_angle_alpha 90.00
_cell_angle_beta 90.00
_cell_angle_gamma 90.00
loop_
_atom_site_label
_atom_site_fract_x
_atom_site_fract_y
_atom_site_fract_z
Fe1 0.000 0.000 0.000
Ni1 0.000 0.000 0.655
Ir1 0.000 0.000 0.329
# Formation energy = 191 meV/atom
# M_tot = 3.80 μB/f.u.
# E above lowest polymorph = 19.0 kJ per mole of atoms

No. 5
# PBEsol BeAl2IF, optimized geometry
data_BeAl2IF
_chemical_formula_sum 'Be1 Al2 I1 F1'
_space_group_name_H-M_alt 'P 4/m m m'
_space_group_IT_number 123
_space_group_name_Hall '-P 4 2'
_cell_length_a 4.473
_cell_length_b 4.473
_cell_length_c 4.961
_cell_angle_alpha 90.00
_cell_angle_beta 90.00
_cell_angle_gamma 90.00
loop_
_atom_site_label
_atom_site_fract_x
_atom_site_fract_y
_atom_site_fract_z
Be1 0.000 0.000 0.000
Al1 0.000 0.500 0.000
I1 0.000 0.000 0.500
F1 0.500 0.500 0.500
# M_tot = 0.00 μB/f.u.
# Energy relative to the elements, uncorrected = 12 meV per atom

No. 6
# PBEsol Li3CdCu, optimized geometry
data_Li3CdCu
_chemical_formula_sum 'Li3 Cd1 Cu1'
_space_group_name_H-M_alt 'P m -3 m'
_space_group_IT_number 221
_space_group_name_Hall '-P 4 2 3'
_cell_length_a 4.559
_cell_length_b 4.559
_cell_length_c 4.559
_cell_angle_alpha 90.00
_cell_angle_beta 90.00
_cell_angle_gamma 90.00
loop_
_atom_site_label
_atom_site_fract_x
_atom_site_fract_y
_atom_site_fract_z
Li1 0.000 0.000 0.500
Cd1 0.500 0.500 0.500
Cu1 0.000 0.000 0.000
# Formation energy = 203 meV/atom
# M_tot = 0.00 μB/f.u.

No. 7
# PBEsol LaNb2Co2, optimized geometry
data_LaNb2Co2
_chemical_formula_sum 'La2 Nb4 Co4'
_space_group_name_H-M_alt 'I 4/m m m'
_space_group_IT_number 139
_space_group_name_Hall '-I 4 2'
_cell_length_a 4.309
_cell_length_b 4.309
_cell_length_c 9.834
_cell_angle_alpha 90.00
_cell_angle_beta 90.00
_cell_angle_gamma 90.00
loop_
_atom_site_label
_atom_site_fract_x
_atom_site_fract_y
_atom_site_fract_z
La1 0.000 0.000 0.000
Nb1 0.000 0.500 0.250
Co1 0.000 0.000 0.372
# Formation energy = -31 meV/atom
# M_tot = 0.00 μB/f.u.

No. 8
# PBEsol RbZrNi2Ag, optimized geometry
data_RbZrNi2Ag
_chemical_formula_sum 'Rb1 Zr1 Ni2 Ag1'
_space_group_name_H-M_alt 'P 4/m m m'
_space_group_IT_number 123
_space_group_name_Hall '-P 4 2'
_cell_length_a 4.508
_cell_length_b 4.508
_cell_length_c 5.243
_cell_angle_alpha 90.00
_cell_angle_beta 90.00
_cell_angle_gamma 90.00
loop_
_atom_site_label
_atom_site_fract_x
_atom_site_fract_y
_atom_site_fract_z
Rb1 0.000 0.000 0.000
Zr1 0.500 0.500 0.500
Ni1 0.000 0.500 0.000
Ag1 0.000 0.000 0.500
# Formation energy = 1914 meV/atom
# M_tot = 0.00 μB/f.u.

No. 9
# PBEsol ZrTaFe2, optimized geometry
data_ZrTaFe2
_chemical_formula_sum 'Zr1 Ta1 Fe2'
_space_group_name_H-M_alt 'P 4/m m m'
_space_group_IT_number 123
_space_group_name_Hall '-P 4 2'
_cell_length_a 3.054
_cell_length_b 3.054
_cell_length_c 6.217
_cell_angle_alpha 90.00
_cell_angle_beta 90.00
_cell_angle_gamma 90.00
loop_
_atom_site_label
_atom_site_fract_x
_atom_site_fract_y
_atom_site_fract_z
Zr1 0.000 0.000 0.000
Ta1 0.000 0.000 0.500
Fe1 0.500 0.500 0.267
# Formation energy = -194 meV/atom
# M_tot = 0.95 μB/f.u.

No. 10
# PBEsol BeAsP2, optimized geometry
data_BeAsP2
_chemical_formula_sum 'Be3 As3 P6'
_space_group_name_H-M_alt 'R 3 m'
_space_group_IT_number 160
_space_group_name_Hall 'R 3 -2"'
_cell_length_a 3.1106
_cell_length_b 3.1106
_cell_length_c 23.4835
_cell_angle_alpha 90.00
_cell_angle_beta 90.00
_cell_angle_gamma 120.00
loop_
_atom_site_label
_atom_site_fract_x
_atom_site_fract_y
_atom_site_fract_z
Be1 0.0000 0.0000 0.0000
As1 0.0000 0.0000 0.2668
P1 0.0000 0.0000 0.4616
P2 0.0000 0.0000 0.7378
# Formation energy = 255 meV/atom
# M_tot = 0.00 μB/f.u.
# E above lowest polymorph = 18.5 kJ per mole of atoms

No. 11
# PBEsol Li4Al3Cu6, optimized geometry
data_Li4Al3Cu6
_chemical_formula_sum 'Li8 Al6 Cu12'
_space_group_name_H-M_alt 'P 63/m m c'
_space_group_IT_number 194
_space_group_name_Hall '-P 6c 2c'
_cell_length_a 4.8114
_cell_length_b 4.8114
_cell_length_c 17.4033
_cell_angle_alpha 90.00
_cell_angle_beta 90.00
_cell_angle_gamma 120.00
loop_
_atom_site_label
_atom_site_fract_x
_atom_site_fract_y
_atom_site_fract_z
Li1 0.0000 0.0000 0.2500
Li2 0.3333 0.6667 0.0219
Li3 0.3333 0.6667 0.7500
Al1 0.0000 0.0000 0.0000
Al2 0.3333 0.6667 0.1724
Cu1 0.1684 0.3368 0.6169
# Formation energy = -182 meV/atom
# M_tot = 0.00 μB/f.u.

No. 12
# PBEsol HPtN2, optimized geometry
data_HPtN2
_chemical_formula_sum 'H3 Pt3 N6'
_space_group_name_H-M_alt 'R -3 m'
_space_group_IT_number 166
_space_group_name_Hall '-R 3 2"'
_cell_length_a 3.1659
_cell_length_b 3.1659
_cell_length_c 13.0566
_cell_angle_alpha 90.00
_cell_angle_beta 90.00
_cell_angle_gamma 120.00
loop_
_atom_site_label
_atom_site_fract_x
_atom_site_fract_y
_atom_site_fract_z
H1 0.0000 0.0000 0.0000
Pt1 0.0000 0.0000 0.5000
N1 0.0000 0.0000 0.0964
# M_tot = 0.00 μB/f.u.
# Final energy = -76.4 eV per cell

No. 13
# PBEsol EuHg, optimized geometry
data_EuHg
_chemical_formula_sum 'Eu1 Hg1'
_space_group_name_H-M_alt 'P m -3 m'
_space_group_IT_number 221
_space_group_name_Hall '-P 4 2 3'
_cell_length_a 3.790
_cell_length_b 3.790
_cell_length_c 3.790
_cell_angle_alpha 90.00
_cell_angle_beta 90.00
_cell_angle_gamma 90.00
loop_
_atom_site_label
_atom_site_fract_x
_atom_site_fract_y
_atom_site_fract_z
Eu1 0.000 0.000 0.000
Hg1 0.500 0.500 0.500
# Formation energy = -619 meV/atom
# M_tot = 7.08 μB/f.u.

No. 14
# PBEsol Co3PdS, optimized geometry
data_Co3PdS
_chemical_formula_sum 'Co3 Pd1 S1'
_space_group_name_H-M_alt 'P m -3 m'
_space_group_IT_number 221
_space_group_name_Hall '-P 4 2 3'
_cell_length_a 4.477
_cell_length_b 4.477
_cell_length_c 4.477
_cell_angle_alpha 90.00
_cell_angle_beta 90.00
_cell_angle_gamma 90.00
loop_
_atom_site_label
_atom_site_fract_x
_atom_site_fract_y
_atom_site_fract_z
Co1 0.000 0.000 0.500
Pd1 0.000 0.000 0.000
S1 0.500 0.500 0.500
# M_tot = 6.99 μB/f.u.
# Energy relative to the elements, uncorrected = 1589 meV per atom

No. 15
# PBEsol Fe2BO4, optimized geometry
data_Fe2BO4
_chemical_formula_sum 'Fe8 B4 O16'
_space_group_name_H-M_alt 'P n m a'
_space_group_IT_number 62
_space_group_name_Hall '-P 2ac 2n'
_cell_length_a 9.038
_cell_length_b 2.963
_cell_length_c 9.322
_cell_angle_alpha 90.00
_cell_angle_beta 90.00
_cell_angle_gamma 90.00
loop_
_atom_site_label
_atom_site_fract_x
_atom_site_fract_y
_atom_site_fract_z
Fe1 0.110 0.250 0.195
Fe2 0.115 0.250 0.558
B1 0.164 0.250 0.873
O1 0.006 0.250 0.384
O2 0.015 0.250 0.879
O3 0.232 0.250 0.739
O4 0.248 0.250 0.999
# M_tot = 5.00 μB/f.u.
# Energy relative to the elements, uncorrected = -1507 meV per atom

No. 16
# PBEsol LaZn2P, optimized geometry
data_LaZn2P
_chemical_formula_sum 'La1 Zn2 P1'
_space_group_name_H-M_alt 'P 4/m m m'
_space_group_IT_number 123
_space_group_name_Hall '-P 4 2'
_cell_length_a 4.116
_cell_length_b 4.116
_cell_length_c 4.768
_cell_angle_alpha 90.00
_cell_angle_beta 90.00
_cell_angle_gamma 90.00
loop_
_atom_site_label
_atom_site_fract_x
_atom_site_fract_y
_atom_site_fract_z
La1 0.000 0.000 0.000
Zn1 0.000 0.500 0.500
P1 0.500 0.500 0.000
# Formation energy = -463 meV/atom
# M_tot = 0.00 μB/f.u.

No. 17
# PBEsol LaTe2Os, optimized geometry
data_LaTe2Os
_chemical_formula_sum 'La4 Te8 Os4'
_space_group_name_H-M_alt 'F m m m'
_space_group_IT_number 69
_space_group_name_Hall '-F 2 2'
_cell_length_a 5.808
_cell_length_b 7.073
_cell_length_c 9.894
_cell_angle_alpha 90.00
_cell_angle_beta 90.00
_cell_angle_gamma 90.00
loop_
_atom_site_label
_atom_site_fract_x
_atom_site_fract_y
_atom_site_fract_z
La1 0.000 0.000 0.000
Te1 0.000 0.250 0.250
Os1 0.000 0.000 0.500
# M_tot = 0.01 μB/f.u.
# Energy relative to the elements, uncorrected = 174 meV per atom
# E above lowest polymorph = 50.4 kJ per mole of atoms

No. 18
# PBEsol NaIn2Pb2, optimized geometry
data_NaIn2Pb2
_chemical_formula_sum 'Na2 In4 Pb4'
_space_group_name_H-M_alt 'P 4/m b m'
_space_group_IT_number 127
_space_group_name_Hall '-P 4 2ab'
_cell_length_a 8.900
_cell_length_b 8.900
_cell_length_c 3.692
_cell_angle_alpha 90.00
_cell_angle_beta 90.00
_cell_angle_gamma 90.00
loop_
_atom_site_label
_atom_site_fract_x
_atom_site_fract_y
_atom_site_fract_z
Na1 0.000 0.000 0.000
In1 0.149 0.351 0.500
Pb1 0.147 0.647 0.000
# Formation energy = -9 meV/atom
# M_tot = 0.00 μB/f.u.
# E above lowest polymorph = 0.0 kJ per mole of atoms

No. 19
# PBEsol AlNi, optimized geometry
data_AlNi
_chemical_formula_sum 'Al1 Ni1'
_space_group_name_H-M_alt 'P -6 m 2'
_space_group_IT_number 187
_space_group_name_Hall 'P -6 2'
_cell_length_a 2.7188
_cell_length_b 2.7188
_cell_length_c 3.7888
_cell_angle_alpha 90.00
_cell_angle_beta 90.00
_cell_angle_gamma 120.00
loop_
_atom_site_label
_atom_site_fract_x
_atom_site_fract_y
_atom_site_fract_z
Al1 0.0000 0.0000 0.0000
Ni1 0.6667 0.3333 0.5000
# Formation energy = -471 meV/atom
# M_tot = 0.00 μB/f.u.

No. 20
# PBEsol ScTi3Si, optimized geometry
data_ScTi3Si
_chemical_formula_sum 'Sc1 Ti3 Si1'
_space_group_name_H-M_alt 'P m -3 m'
_space_group_IT_number 221
_space_group_name_Hall '-P 4 2 3'
_cell_length_a 4.647
_cell_length_b 4.647
_cell_length_c 4.647
_cell_angle_alpha 90.00
_cell_angle_beta 90.00
_cell_angle_gamma 90.00
loop_
_atom_site_label
_atom_site_fract_x
_atom_site_fract_y
_atom_site_fract_z
Sc1 0.000 0.000 0.000
Ti1 0.000 0.500 0.500
Si1 0.500 0.500 0.500
# M_tot = 0.00 μB/f.u.
# Energy relative to the elements, uncorrected = 212 meV per atom
# E above lowest polymorph = 0.0 kJ per mole of atoms

No. 21
# PBEsol SrBrNO2, optimized geometry
data_SrBrNO2
_chemical_formula_sum 'Sr1 Br1 N1 O2'
_space_group_name_H-M_alt 'P 4/m m m'
_space_group_IT_number 123
_space_group_name_Hall '-P 4 2'
_cell_length_a 4.142
_cell_length_b 4.142
_cell_length_c 3.803
_cell_angle_alpha 90.00
_cell_angle_beta 90.00
_cell_angle_gamma 90.00
loop_
_atom_site_label
_atom_site_fract_x
_atom_site_fract_y
_atom_site_fract_z
Sr1 0.000 0.000 0.000
Br1 0.500 0.500 0.500
N1 0.500 0.500 0.000
O1 0.000 0.500 0.500
# M_tot = 0.00 μB/f.u.
# Energy relative to the elements, uncorrected = -267 meV per atom

No. 22
# PBEsol CsBi4Se7, optimized geometry
data_CsBi4Se7
_chemical_formula_sum 'Cs4 Bi16 Se28'
_space_group_name_H-M_alt 'C 1 2/m 1'
_space_group_IT_number 12
_space_group_name_Hall '-C 2y'
_cell_length_a 22.948
_cell_length_b 4.196
_cell_length_c 19.306
_cell_angle_alpha 90.00
_cell_angle_beta 121.33
_cell_angle_gamma 90.00
loop_
_atom_site_label
_atom_site_fract_x
_atom_site_fract_y
_atom_site_fract_z
Cs1 0.032 0.000 0.346
Bi1 0.134 0.000 0.065
Bi2 0.157 0.500 0.891
Bi3 0.207 0.000 0.737
Bi4 0.229 0.500 0.574
Se1 0.046 0.500 0.069
Se2 0.070 0.000 0.884
Se3 0.112 0.500 0.727
Se4 0.138 0.000 0.568
Se5 0.173 0.500 0.408
Se6 0.194 0.000 0.238
Se7 0.233 0.500 0.079
# M_tot = 0.00 μB/f.u.
# Energy relative to the elements, uncorrected = -500 meV per atom

No. 23
# PBEsol CaSc2C, optimized geometry
data_CaSc2C
_chemical_formula_sum 'Ca3 Sc6 C3'
_space_group_name_H-M_alt 'R -3 m'
_space_group_IT_number 166
_space_group_name_Hall '-R 3 2"'
_cell_length_a 3.3454
_cell_length_b 3.3454
_cell_length_c 27.0199
_cell_angle_alpha 90.00
_cell_angle_beta 90.00
_cell_angle_gamma 120.00
loop_
_atom_site_label
_atom_site_fract_x
_atom_site_fract_y
_atom_site_fract_z
Ca1 0.0000 0.0000 0.0000
Sc1 0.0000 0.0000 0.1222
C1 0.0000 0.0000 0.5000
# Formation energy = -218 meV/atom
# M_tot = 0.00 μB/f.u.

No. 24
# PBEsol K2InOs, optimized geometry
data_K2InOs
_chemical_formula_sum 'K4 In2 Os2'
_space_group_name_H-M_alt 'I m m 2'
_space_group_IT_number 44
_space_group_name_Hall 'I 2 -2'
_cell_length_a 4.478
_cell_length_b 5.644
_cell_length_c 9.341
_cell_angle_alpha 90.00
_cell_angle_beta 90.00
_cell_angle_gamma 90.00
loop_
_atom_site_label
_atom_site_fract_x
_atom_site_fract_y
_atom_site_fract_z
K1 0.000 0.000 0.000
K2 0.000 0.500 0.207
In1 0.000 0.500 0.784
Os1 0.000 0.000 0.418
# Formation energy = 973 meV/atom
# M_tot = 0.47 μB/f.u.

No. 25
# PBEsol Al5Si, optimized geometry
data_Al5Si
_chemical_formula_sum 'Al5 Si1'
_space_group_name_H-M_alt 'P 6/m m m'
_space_group_IT_number 191
_space_group_name_Hall '-P 6 2'
_cell_length_a 5.2160
_cell_length_b 5.2160
_cell_length_c 4.5717
_cell_angle_alpha 90.00
_cell_angle_beta 90.00
_cell_angle_gamma 120.00
loop_
_atom_site_label
_atom_site_fract_x
_atom_site_fract_y
_atom_site_fract_z
Al1 0.0000 0.5000 0.0000
Al2 0.3333 0.6667 0.5000
Si1 0.0000 0.0000 0.5000
# M_tot = 0.00 μB/f.u.
# Energy relative to the elements, uncorrected = 365 meV per atom
# E above lowest polymorph = 30.1 kJ per mole of atoms